An optimized crystal structure of NaYN2F, computed with PBE.

a b c (Å): 4.1723 4.1723 3.8939
angles (deg): 90.00 90.00 90.00
Positions (direct):
Y: 0.5000 0.5000 0.5000
Na: 0.0000 0.0000 0.0000
N: 0.0000 0.5000 0.0000
N: 0.5000 0.0000 0.0000
F: 0.0000 0.0000 0.5000

Output
Formation energy (no corrections)   -0.05 eV/atom
Size of the total moment   0.55 μB/atom